Record 1
The following is a PBE calculation of ThCo2SiN after structural relaxation, from Alexandria.

a b c (Å): 5.8319 5.8319 6.8522
angles (deg): 90.00 90.00 143.71
Atoms (fractional coordinates):
Th (0.0462, 0.9538, 0.7500)
Th (0.9538, 0.0462, 0.2500)
Co (0.3302, 0.6698, 0.5548)
Co (0.3302, 0.6698, 0.9452)
Co (0.6698, 0.3302, 0.0548)
Co (0.6698, 0.3302, 0.4452)
Si (0.2278, 0.7722, 0.2500)
Si (0.7722, 0.2278, 0.7500)
N (0.5000, 0.5000, 0.0000)
N (0.5000, 0.5000, 0.5000)

Calculated values
**Raw formation energy**: -0.8453 eV/atom
**DOS(E_F)**: 0.82 states/eV per atom



Record 2
The following is a PBE calculation of ThCoSiN after structural relaxation, from Alexandria.

a b c (Å): 3.8082 3.8082 8.0934
angles (deg): 90.00 90.00 90.00
Atoms (fractional coordinates):
Th (0.2500, 0.2500, 0.1722)
Th (0.7500, 0.7500, 0.8278)
Co (0.2500, 0.7500, 0.5000)
Co (0.7500, 0.2500, 0.5000)
Si (0.2500, 0.2500, 0.6472)
Si (0.7500, 0.7500, 0.3528)
N (0.2500, 0.2500, 0.8741)
N (0.7500, 0.7500, 0.1259)

Calculated values
**Raw formation energy**: -1.1459 eV/atom
**DOS(E_F)**: 0.28 states/eV per atom



Record 3
The following is a PBE calculation of YCoSiN after structural relaxation, from Alexandria.

a b c (Å): 3.6945 3.6945 8.0715
angles (deg): 90.00 90.00 90.00
Atoms (fractional coordinates):
Y (0.2500, 0.2500, 0.1584)
Y (0.7500, 0.7500, 0.8416)
Co (0.2500, 0.7500, 0.5000)
Co (0.7500, 0.2500, 0.5000)
Si (0.2500, 0.2500, 0.6537)
Si (0.7500, 0.7500, 0.3463)
N (0.2500, 0.2500, 0.8730)
N (0.7500, 0.7500, 0.1270)

Calculated values
**Raw formation energy**: -1.1053 eV/atom
**DOS(E_F)**: 0.61 states/eV per atom



Record 4
The following is a PBE calculation of Sm2Co17N3 after structural relaxation, from Alexandria.

a b c (Å): 6.4378 6.4378 6.4378
angles (deg): 83.41 83.41 83.41
Atoms (fractional coordinates):
Sm (0.1554, 0.1554, 0.1554)
Sm (0.8446, 0.8446, 0.8446)
Co (0.0000, 0.5000, 0.5000)
Co (0.1592, 0.1592, 0.6357)
Co (0.1592, 0.6357, 0.1592)
Co (0.2203, 0.5000, 0.7797)
Co (0.2203, 0.7797, 0.5000)
Co (0.3643, 0.8408, 0.8408)
Co (0.4065, 0.4065, 0.4065)
Co (0.5000, 0.0000, 0.5000)
Co (0.5000, 0.2203, 0.7797)
Co (0.5000, 0.5000, 0.0000)
Co (0.5000, 0.7797, 0.2203)
Co (0.5935, 0.5935, 0.5935)
Co (0.6357, 0.1592, 0.1592)
Co (0.7797, 0.2203, 0.5000)
Co (0.7797, 0.5000, 0.2203)
Co (0.8408, 0.3643, 0.8408)
Co (0.8408, 0.8408, 0.3643)
N (0.0000, 0.0000, 0.5000)
N (0.0000, 0.5000, 0.0000)
N (0.5000, 0.0000, 0.0000)

Calculated values
**Raw formation energy**: -0.1484 eV/atom
**DOS(E_F)**: 1.28 states/eV per atom



Please write out number 4 again, unchanged.
The following is a PBE calculation of Sm2Co17N3 after structural relaxation, from Alexandria.

a b c (Å): 6.4378 6.4378 6.4378
angles (deg): 83.41 83.41 83.41
Atoms (fractional coordinates):
Sm (0.1554, 0.1554, 0.1554)
Sm (0.8446, 0.8446, 0.8446)
Co (0.0000, 0.5000, 0.5000)
Co (0.1592, 0.1592, 0.6357)
Co (0.1592, 0.6357, 0.1592)
Co (0.2203, 0.5000, 0.7797)
Co (0.2203, 0.7797, 0.5000)
Co (0.3643, 0.8408, 0.8408)
Co (0.4065, 0.4065, 0.4065)
Co (0.5000, 0.0000, 0.5000)
Co (0.5000, 0.2203, 0.7797)
Co (0.5000, 0.5000, 0.0000)
Co (0.5000, 0.7797, 0.2203)
Co (0.5935, 0.5935, 0.5935)
Co (0.6357, 0.1592, 0.1592)
Co (0.7797, 0.2203, 0.5000)
Co (0.7797, 0.5000, 0.2203)
Co (0.8408, 0.3643, 0.8408)
Co (0.8408, 0.8408, 0.3643)
N (0.0000, 0.0000, 0.5000)
N (0.0000, 0.5000, 0.0000)
N (0.5000, 0.0000, 0.0000)

Calculated values
**Raw formation energy**: -0.1484 eV/atom
**DOS(E_F)**: 1.28 states/eV per atom



The lowest DOS(E_F) belongs to which entry? ThCoSiN